# YSc3Re (PBEsol, relaxed)
data_YSc3Re
_cell_length_a 4.785
_cell_length_b 4.785
_cell_length_c 4.785
_cell_angle_alpha 90.00
_cell_angle_beta 90.00
_cell_angle_gamma 90.00
_symmetry_space_group_name_H-M 'P m -3 m'
_symmetry_Int_Tables_number 221
_symmetry_space_group_name_Hall '-P 4 2 3'
loop_
_atom_site_label
_atom_site_type_symbol
_atom_site_fract_x
_atom_site_fract_y
_atom_site_fract_z
_atom_site_occupancy
Y1 Y 0.000 0.000 0.000 1
Sc1 Sc 0.000 0.000 0.500 1
Re1 Re 0.500 0.500 0.500 1
# * final energy: -31.39 eV for the cell shown
# * V: 21.9 A^3/atom
# * Fermi-level density of states: 1.080 states/eV/atom
# * formation energy from the elements: 1.72 eV/atom